Record 1
Density functional theory data (PBEsol) for an optimized crystal structure of CaMnAl2.

Summary:
Its formation energy is 0.114 eV per atom.

```
4
Lattice="3.102 0.000 0.000 0.000 3.102 0.000 0.000 0.000 7.551" Properties=species:S:1:pos:R:3 pbc="T T T"
Ca 0.000 0.000 0.000
Mn 1.551 1.551 2.219
Al 0.000 0.000 3.496
Al 1.551 1.551 5.208
```

---

Record 2
Density functional theory data (PBEsol) for an optimized crystal structure of CaMnAl.

Summary:
Its formation energy is 0.482 eV per atom.

```
3
Lattice="3.148 0.000 0.000 -1.574 2.726 0.000 0.000 0.000 7.053" Properties=species:S:1:pos:R:3 pbc="T T T"
Ca 0.000 0.000 0.000
Mn 0.000 1.817 4.524
Al 1.574 0.909 2.620
```

---

Record 3
Density functional theory data (PBEsol) for an optimized crystal structure of Ca2MnAlO5.

Summary:
Its formation energy (no corrections) is -2.682 eV/atom.

```
18
Lattice="-7.234 2.781 2.639 7.234 -2.781 2.639 7.234 2.781 -2.639" Properties=species:S:1:pos:R:3 pbc="T T T"
Ca 1.581 0.171 0.000
Ca 5.653 0.171 0.000
Ca 1.581 2.610 2.639
Ca 5.653 2.610 2.639
Mn 0.000 2.781 0.054
Mn 0.000 0.000 2.693
Al 3.617 -0.415 2.470
Al 3.617 3.196 -0.169
O 7.431 1.414 -1.276
O 7.037 -1.367 1.362
O 10.851 0.790 0.701
O 2.108 2.390 0.207
O 5.125 2.390 0.207
O -0.197 1.367 1.362
O 7.431 1.367 1.362
O 2.108 0.391 2.846
O 5.125 0.391 2.846
O -3.617 1.990 3.340
```

---

Record 4
Density functional theory data (PBEsol) for an optimized crystal structure of Ca2MnAl2Si3O13.

Summary:
Its formation energy (no corrections) is -2.768 eV/atom.

```
42
Lattice="8.890 0.000 0.000 0.000 5.714 0.000 -3.774 0.000 9.358" Properties=species:S:1:pos:R:3 pbc="T T T"
Ca -0.529 1.429 3.184
Ca -0.943 4.286 8.542
Ca 6.059 1.429 0.816
Ca 5.644 4.286 6.174
Mn 2.558 0.000 4.679
Mn 2.558 2.857 4.679
Al 0.000 0.000 0.000
Al 0.000 2.857 0.000
Al 1.298 1.429 7.289
Al 3.817 4.286 2.069
Si -1.989 1.429 7.161
Si -0.201 4.286 4.879
Si 2.594 1.429 1.633
Si 2.522 4.286 7.725
Si 5.316 1.429 4.479
Si 7.105 4.286 2.197
O -1.493 4.286 3.832
O -2.635 0.094 7.817
O -2.635 2.763 7.817
O 0.976 4.286 0.522
O 1.074 1.429 1.065
O -0.875 4.286 6.312
O 0.695 2.950 4.517
O 0.695 5.622 4.517
O -0.404 1.429 7.382
O 3.428 0.086 1.206
O 3.428 2.771 1.206
O 2.567 1.429 3.354
O 2.754 4.286 3.485
O 2.361 1.429 5.873
O 2.548 4.286 6.004
O 1.688 2.943 8.152
O 1.688 5.629 8.152
O 5.520 4.286 1.976
O 4.421 0.093 4.841
O 4.421 2.765 4.841
O 5.990 1.429 3.046
O 4.041 4.286 8.293
O 4.140 1.429 8.836
O 7.750 2.951 1.541
O 7.750 5.621 1.541
O 6.608 1.429 5.526
```

---

Record 5
Density functional theory data (PBEsol) for an optimized crystal structure of CaMnAl2Ru.

Summary:
Its formation energy is 0.101 eV per atom.

```
5
Lattice="4.668 0.000 0.000 0.000 4.668 0.000 0.000 0.000 4.847" Properties=species:S:1:pos:R:3 pbc="T T T"
Ca 0.000 0.000 0.000
Mn 2.334 2.334 0.000
Al 0.000 2.334 2.423
Al 2.334 0.000 2.423
Ru 2.334 2.334 2.423
```

---

Record 6
Density functional theory data (PBEsol) for an optimized crystal structure of CaAlMo.

Summary:
Its formation energy is 0.919 eV per atom. The polymorph energy (0 for the lowest one) is 468.9 meV/atom.

```
3
Lattice="0.000 3.269 3.269 3.269 0.000 3.269 3.269 3.269 0.000" Properties=species:S:1:pos:R:3 pbc="T T T"
Ca 0.000 0.000 0.000
Al 1.634 1.634 1.634
Mo 3.269 3.269 3.269
```

---

Record 7
Density functional theory data (PBEsol) for an optimized crystal structure of CaAlMo.

Summary:
Its formation energy is 0.450 eV per atom. The polymorph energy (0 for the lowest one) is 0.0 meV/atom.

```
3
Lattice="4.771 0.000 0.000 -2.385 4.132 0.000 0.000 0.000 2.827" Properties=species:S:1:pos:R:3 pbc="T T T"
Ca 0.000 0.000 0.000
Al 0.000 2.754 1.616
Mo 2.385 1.377 0.976
```

---

Record 8
Density functional theory data (PBEsol) for an optimized crystal structure of CaAl2Mo.

Summary:
Its formation energy is 0.383 eV per atom. The polymorph energy (0 for the lowest one) is 183.9 meV/atom.

```
4
Lattice="1.493 0.862 9.568 -1.493 0.862 9.568 0.000 -1.724 9.568" Properties=species:S:1:pos:R:3 pbc="T T T"
Ca 0.000 0.000 0.000
Al 0.000 0.000 14.477
Al 0.000 0.000 21.819
Mo 0.000 0.000 7.010
```

---

Record 9
Density functional theory data (PBEsol) for an optimized crystal structure of CaAl2Mo.

Summary:
Its formation energy is 0.199 eV per atom. The polymorph energy (0 for the lowest one) is 0.0 meV/atom.

```
4
Lattice="2.889 0.000 0.000 0.000 3.665 0.000 0.000 0.000 7.265" Properties=species:S:1:pos:R:3 pbc="T T T"
Ca 0.000 0.000 0.000
Al 0.000 0.000 3.469
Al 1.444 1.833 4.968
Mo 1.444 1.833 2.234
```

---

Record 10
Density functional theory data (PBEsol) for an optimized crystal structure of CaAl2Mo.

Summary:
Its formation energy is 0.673 eV per atom. The polymorph energy (0 for the lowest one) is 473.6 meV/atom.

```
8
Lattice="-2.251 2.251 9.103 2.251 -2.251 9.103 2.251 2.251 -9.103" Properties=species:S:1:pos:R:3 pbc="T T T"
Ca 0.000 0.000 0.000
Ca 0.000 2.251 4.551
Al 1.126 -0.588 6.827
Al 1.663 1.126 2.276
Al 1.126 2.839 -2.276
Al 0.588 1.126 11.378
Mo 2.251 0.000 4.551
Mo 0.000 0.000 9.103
```

---

Record 11
Density functional theory data (PBEsol) for an optimized crystal structure of CaAlNi2Mo.

Summary:
Its formation energy is 1.234 eV per atom.

```
5
Lattice="4.286 0.000 0.000 0.000 4.286 0.000 0.000 0.000 4.975" Properties=species:S:1:pos:R:3 pbc="T T T"
Ca 0.000 0.000 0.000
Al 0.000 0.000 2.487
Ni 0.000 2.143 2.487
Ni 2.143 0.000 2.487
Mo 2.143 2.143 0.000
```

---

Record 12
Density functional theory data (PBEsol) for an optimized crystal structure of Ca4Al6MoO16.

Summary:
Its formation energy (no corrections) is -2.935 eV/atom. The polymorph energy (0 for the lowest one) is 0.0 meV/atom.

```
108
Lattice="26.134 0.000 0.000 0.000 6.543 4.661 0.000 -6.543 4.661" Properties=species:S:1:pos:R:3 pbc="T T T"
Ca 0.478 -3.506 4.661
Ca 3.140 -0.199 8.893
Ca 3.614 0.380 3.890
Ca 6.546 -3.448 4.222
Ca 6.521 3.095 4.222
Ca 9.453 0.380 8.551
Ca 9.927 -0.199 4.232
Ca 12.588 3.037 4.661
Ca 13.545 -3.037 4.661
Ca 16.207 0.199 4.232
Ca 16.681 -0.380 8.551
Ca 19.613 -3.095 4.222
Ca 19.587 3.448 4.222
Ca 22.520 -0.380 3.890
Ca 22.993 0.199 8.893
Ca 25.655 3.506 4.661
Al 0.000 0.000 4.413
Al 0.000 0.000 8.922
Al 1.552 1.767 6.586
Al 1.637 -1.481 2.095
Al 4.836 1.624 6.548
Al 4.964 -1.651 1.769
Al 6.358 -0.048 8.807
Al 6.709 -0.048 4.147
Al 8.103 -1.651 6.429
Al 8.230 1.624 1.887
Al 11.430 -1.481 6.755
Al 11.515 1.767 1.925
Al 13.067 0.000 4.261
Al 13.067 0.000 9.074
Al 14.619 -1.767 1.925
Al 14.704 1.481 6.755
Al 17.903 -1.624 1.887
Al 18.031 1.651 6.429
Al 19.424 0.048 4.147
Al 19.776 0.048 8.807
Al 21.169 1.651 1.769
Al 21.297 -1.624 6.548
Al 24.496 1.481 2.095
Al 24.582 -1.767 6.586
Mo 3.597 -3.132 6.514
Mo 9.470 3.411 6.514
Mo 16.664 -3.411 6.514
Mo 22.536 3.132 6.514
O 0.408 1.483 5.288
O 0.851 5.337 5.200
O 1.200 -3.129 2.495
O 1.247 0.891 8.086
O 1.432 -0.424 3.477
O 2.378 -4.167 5.754
O 2.815 -1.772 7.290
O 3.176 1.394 6.024
O 3.301 -1.115 1.703
O 4.470 2.438 3.064
O 4.703 -2.533 5.291
O 5.069 0.989 8.177
O 5.453 5.133 4.756
O 5.471 3.252 6.739
O 5.538 -0.604 3.015
O 5.753 0.989 5.190
O 7.314 -5.554 5.190
O 7.529 -0.604 7.676
O 7.613 -1.410 4.756
O 7.596 -3.291 6.739
O 7.998 0.989 3.516
O 8.364 4.010 5.291
O 8.596 -4.104 3.064
O 9.766 -1.115 6.363
O 9.890 1.394 1.364
O 10.252 -1.772 2.629
O 10.689 2.375 5.754
O 11.634 -0.424 8.138
O 11.820 0.891 3.425
O 11.867 3.413 2.495
O 12.215 -1.205 5.200
O 12.659 -5.059 5.288
O 13.475 5.059 5.288
O 13.918 1.205 5.200
O 14.266 -3.413 2.495
O 14.313 -0.891 3.425
O 14.499 0.424 8.138
O 15.445 -2.375 5.754
O 15.882 1.772 2.629
O 16.243 -1.394 1.364
O 16.368 1.115 6.363
O 17.537 4.104 3.064
O 17.770 -4.010 5.291
O 18.136 -0.989 3.516
O 18.520 1.410 4.756
O 18.538 3.291 6.739
O 18.605 0.604 7.676
O 18.819 5.554 5.190
O 20.381 -0.989 5.190
O 20.596 0.604 3.015
O 20.680 -5.133 4.756
O 20.662 -3.252 6.739
O 21.064 -0.989 8.177
O 21.431 2.533 5.291
O 21.663 -2.438 3.064
O 22.832 1.115 1.703
O 22.957 -1.394 6.024
O 23.318 1.772 7.290
O 23.755 4.167 5.754
O 24.701 0.424 3.477
O 24.887 -0.891 8.086
O 24.934 3.129 2.495
O 25.282 -5.337 5.200
O 25.726 -1.483 5.288
```

---

Number 1: uncorrected energy -4.91 eV per atom. Number 2: uncorrected energy -4.85 eV per atom. Number 3: uncorrected energy -7.61 eV per atom. Number 4: uncorrected energy -7.90 eV per atom. Number 5: uncorrected energy -5.95 eV per atom. Number 6: uncorrected energy -5.08 eV per atom. Number 7: uncorrected energy -5.55 eV per atom. Number 8: uncorrected energy -5.14 eV per atom. Number 9: uncorrected energy -5.32 eV per atom. Number 10: uncorrected energy -4.85 eV per atom. Number 11: uncorrected energy -4.83 eV per atom. Number 12: uncorrected energy -7.71 eV per atom.